Record 1
Material: Li8C
Method: DFT, PBE-GGA
State: optimized geometry

Values from the calculation:
The density of states at the Fermi level comes out at 0.175 states/eV/atom. Its formation energy is 0.286 eV per atom. For the size of the total moment, the calculation gives 0.0 μB per formula unit.

Cell lengths 6.0342, 6.0342, 6.0342 Å; angles 96.32, 96.32, 141.24 degrees
Closest atoms and distances in Å follow each position.
Sites, in units of the cell vectors:
Li (0.0000, 0.2877, 0.2877)  1 C 2.32, 4 Li 2.59
Li (0.0000, 0.7123, 0.7123)  1 C 2.32, 4 Li 2.59
Li (0.2877, 0.0000, 0.2877)  1 C 2.32, 4 Li 2.59
Li (0.3568, 0.3568, 0.7137)  2 Li 2.30
Li (0.3568, 0.6432, 0.0000)  2 Li 2.30
Li (0.6432, 0.3568, 0.0000)  2 Li 2.30
Li (0.6432, 0.6432, 0.2863)  2 Li 2.30
Li (0.7123, 0.0000, 0.7123)  1 C 2.32, 4 Li 2.59
C (0.0000, 0.0000, 0.0000)  12 Li 2.32-2.58

---

Record 2
Material: PrHoAg4
Method: DFT, PBE-GGA
State: optimized geometry

Values from the calculation:
The density of states at the Fermi level comes out at 0.749 states/eV/atom. Its formation energy is -0.158 eV per atom. For the size of the total moment, the calculation gives 0.0 μB per formula unit. The calculation puts the energy above the most stable polymorph in this dataset at 0.1092 eV per atom.

Cell lengths 5.7572, 5.7572, 5.7572 Å; angles 60.00, 60.00, 60.00 degrees
Closest atoms and distances in Å follow each position.
Sites, in units of the cell vectors:
Pr (0.0000, 0.0000, 0.0000)  12 Ag 3.38, 4 Ho 3.53
Ho (0.2500, 0.2500, 0.2500)  12 Ag 3.37, 4 Pr 3.53
Ag (0.1263, 0.6246, 0.6246)  6 Ag 2.87-2.89
Ag (0.6246, 0.1263, 0.6246)  6 Ag 2.87-2.89
Ag (0.6246, 0.6246, 0.1263)  6 Ag 2.87-2.89
Ag (0.6246, 0.6246, 0.6246)  6 Ag 2.87-2.89

---

Record 3
Material: CaAc2PmRu
Method: DFT, PBE-GGA
State: optimized geometry

Values from the calculation:
The density of states at the Fermi level comes out at 0.759 states/eV/atom. Its formation energy is -0.108 eV per atom. For the size of the total moment, the calculation gives 0.0 μB per formula unit.

Cell lengths 5.8284, 5.8284, 5.6130 Å; angles 90.00, 90.00, 90.00 degrees
Closest atoms and distances in Å follow each position.
Sites, in units of the cell vectors:
Ca (0.0000, 0.0000, 0.0000)  8 Ac 4.05, 4 Pm 4.12
Ac (0.0000, 0.5000, 0.5000)  2 Ru 2.91
Ac (0.5000, 0.0000, 0.5000)  2 Ru 2.91
Pm (0.5000, 0.5000, 0.0000)  2 Ru 2.81
Ru (0.5000, 0.5000, 0.5000)  2 Pm 2.81, 4 Ac 2.91

---

Record 4
Material: LiAsSeBr2
Method: DFT, PBE-GGA
State: optimized geometry

Values from the calculation:
The density of states at the Fermi level comes out at 0.391 states/eV/atom. For the size of the total moment, the calculation gives 0.0 μB per formula unit. For the energy relative to the elements, uncorrected, the calculation gives 47 meV/atom. The calculation puts the energy above the most stable polymorph in this dataset at 0.3609 eV per atom.

Cell lengths 5.7072, 5.7072, 4.9527 Å; angles 90.00, 90.00, 90.00 degrees
Closest atoms and distances in Å follow each position.
Sites, in units of the cell vectors:
Li (0.0000, 0.0000, 0.0000)  8 Br 3.78, 4 As 4.04
As (0.5000, 0.5000, 0.0000)  2 Se 2.48
Se (0.5000, 0.5000, 0.5000)  2 As 2.48
Br (0.0000, 0.5000, 0.5000)  2 Se 2.85
Br (0.5000, 0.0000, 0.5000)  2 Se 2.85